Record 1
AcCdHg4 | PBE | optimized geometry

Calculated values
relative energy among the computed polymorphs	2	meV per atom
space group	No. 65
volume	27.22	A^3/atom
energy relative to the elements	-0.268	eV/atom

Unit cell a=5.5053 b=5.3739 c=6.1682 alpha=90.02 beta=63.49 gamma=90.00
Fractional positions:
Hg: 0.6745 0.5002 0.1512
Hg: 0.1794 0.9999 0.1431
Cd: 0.5000 0.0000 0.5000
Hg: 0.3255 0.4998 0.8488
Hg: 0.8206 0.0001 0.8569
Ac: 0.0000 0.5000 0.5000

Record 2
Pm3Fe5H12 | PBE | optimized geometry

Calculated values
space group	No. 230
volume	9.30	A^3/atom
uncorrected energy	-4.967	eV/atom

Unit cell a=9.8876 b=9.8876 c=9.8876 alpha=109.47 beta=109.47 gamma=109.47
Site moments in Bohr magnetons follow the coordinates.
Fractional positions:
H: 0.1711 0.0843 0.6840  0.00
H: 0.4132 0.0129 0.3289  0.00
H: 0.1711 0.0868 0.9871  0.00
Pm: 0.7500 0.3750 0.1250  -0.17
Fe: 0.3750 0.1250 0.7500  2.38
Fe: 0.0000 0.5000 0.0000  -0.65
H: 0.0997 0.4157 0.0868  0.00
H: 0.0129 0.4132 0.8289  0.00
H: 0.4871 0.8160 0.9003  0.00
H: 0.0997 0.6840 0.5129  0.00
H: 0.9003 0.3160 0.4871  0.00
H: 0.1840 0.5129 0.5997  0.00
H: 0.8289 0.9157 0.3160  0.00
Fe: 0.7500 0.6250 0.3750  2.38
H: 0.6840 0.0997 0.0129  0.00
Fe: 0.5000 0.0000 0.5000  -0.65
Fe: 0.8750 0.2500 0.6250  2.38
H: 0.0843 0.9132 0.4003  0.00
H: 0.5868 0.5997 0.4157  0.00
H: 0.4003 0.9871 0.8160  0.00
Fe: 0.6250 0.7500 0.8750  2.38
H: 0.6840 0.5843 0.1711  0.00
H: 0.5843 0.9003 0.4132  0.00
H: 0.5868 0.9871 0.6711  0.00
Fe: 0.5000 0.5000 0.5000  -0.65
H: 0.5997 0.0129 0.1840  0.00
Fe: 0.8750 0.6250 0.7500  2.38
H: 0.4157 0.3160 0.3289  0.00
Fe: 0.6250 0.8750 0.2500  2.38
H: 0.9871 0.5868 0.1711  0.00
H: 0.3160 0.4157 0.8289  0.00
H: 0.0868 0.9157 0.0997  0.00
Fe: 0.3750 0.2500 0.1250  2.38
H: 0.6711 0.1840 0.5843  0.00
H: 0.0843 0.1711 0.1840  0.00
H: 0.1840 0.6711 0.0843  0.00
H: 0.6711 0.4871 0.5868  0.00
H: 0.9157 0.0868 0.5997  0.00
H: 0.8160 0.4871 0.4003  0.00
Pm: 0.3750 0.6250 0.2500  -0.17
Fe: 0.0000 0.0000 0.5000  -0.65
Pm: 0.1250 0.8750 0.7500  -0.17
Fe: 0.0000 0.0000 0.0000  -0.65
H: 0.4871 0.6711 0.0868  0.00
H: 0.4132 0.4003 0.5843  0.00
H: 0.8289 0.9132 0.0129  0.00
H: 0.5843 0.6840 0.6711  0.00
Fe: 0.2500 0.3750 0.6250  2.38
H: 0.3289 0.8160 0.4157  0.00
Fe: 0.7500 0.1250 0.8750  2.38
H: 0.9871 0.4003 0.3160  0.00
H: 0.9003 0.5843 0.9132  0.00
Pm: 0.2500 0.1250 0.3750  -0.17
Pm: 0.8750 0.1250 0.2500  -0.17
H: 0.0868 0.1711 0.4871  0.00
Pm: 0.2500 0.6250 0.8750  -0.17
Pm: 0.6250 0.2500 0.3750  -0.17
H: 0.3160 0.9003 0.9871  0.00
H: 0.0129 0.5997 0.6840  0.00
H: 0.9132 0.8289 0.5129  0.00
Fe: 0.5000 0.0000 0.0000  -0.65
H: 0.8160 0.3289 0.9157  0.00
H: 0.3289 0.5129 0.4132  0.00
Fe: 0.0000 0.5000 0.5000  -0.65
Fe: 0.2500 0.8750 0.1250  2.38
Pm: 0.6250 0.3750 0.7500  -0.17
Fe: 0.1250 0.3750 0.2500  2.38
H: 0.4003 0.4132 0.0843  0.00
Fe: 0.1250 0.7500 0.3750  2.38
H: 0.5129 0.3289 0.9132  0.00
H: 0.5997 0.5868 0.9157  0.00
Pm: 0.8750 0.7500 0.1250  -0.17
H: 0.9132 0.0843 0.9003  0.00
H: 0.9157 0.8289 0.8160  0.00
H: 0.5129 0.1840 0.0997  0.00
H: 0.4157 0.0997 0.5868  0.00
Fe: 0.5000 0.5000 0.0000  -0.65
Pm: 0.3750 0.7500 0.6250  -0.17
Pm: 0.7500 0.8750 0.6250  -0.17
Pm: 0.1250 0.2500 0.8750  -0.17

Record 3
Ta2BeW | PBE | optimized geometry

Calculated values
space group	No. 123
volume	15.49	A^3/atom
energy relative to the elements	0.122	eV/atom

Unit cell a=2.7310 b=2.7310 c=8.3090 alpha=90.00 beta=90.00 gamma=90.00
Fractional positions:
W: 0.5000 0.5000 0.2500
Ta: 0.0000 0.0000 0.9621
Ta: 0.0000 0.0000 0.5379
Be: 0.5000 0.5000 0.7500

Record 4
Ba2SnPb4Au3 | PBE | optimized geometry

Calculated values
space group	No. 115
volume	30.51	A^3/atom
energy relative to the elements	-0.407	eV/atom

Unit cell a=5.0419 b=5.0419 c=12.0039 alpha=90.00 beta=90.00 gamma=90.00
Fractional positions:
Sn: 0.5000 0.5000 0.5000
Pb: 0.5000 0.5000 0.0000
Ba: 0.0000 0.5000 0.7467
Ba: 0.5000 0.0000 0.2533
Au: 0.0000 0.0000 0.5000
Au: 0.5000 0.0000 0.8725
Pb: 0.5000 0.0000 0.6381
Au: 0.0000 0.5000 0.1275
Pb: 0.0000 0.5000 0.3619
Pb: 0.0000 0.0000 0.0000

Record 5
PICl3 | PBE | optimized geometry

Calculated values
relative energy among the computed polymorphs	550	meV per atom
space group	No. 221
volume	24.36	A^3/atom
E_form (uncorrected)	102	meV/atom

Unit cell a=4.9571 b=4.9571 c=4.9571 alpha=90.00 beta=90.00 gamma=90.00
Site moments in Bohr magnetons follow the coordinates.
Fractional positions:
I: 0.5000 0.5000 0.5000  0.61
Cl: 0.5000 0.0000 0.0000  0.08
Cl: 0.0000 0.5000 0.0000  0.06
P: 0.0000 0.0000 0.0000  -0.06
Cl: 0.0000 0.0000 0.5000  0.09

Record 6
DyHoSc | PBE | optimized geometry

Calculated values
relative energy among the computed polymorphs	0	meV per atom
space group	No. 2
volume	29.13	A^3/atom
energy relative to the elements	0.021	eV/atom

Unit cell a=6.4911 b=6.0723 c=6.0817 alpha=60.01 beta=62.18 gamma=62.09
Fractional positions:
Sc: 0.6568 0.6557 0.3786
Ho: 0.6526 0.9800 0.7187
Sc: 0.1570 0.8132 0.8775
Dy: 0.6613 0.3157 0.0379
Ho: 0.1611 0.4890 0.5374
Dy: 0.1524 0.1532 0.2182

Record 7
TaGeRu | PBE | optimized geometry

Calculated values
space group	No. 187
volume	15.61	A^3/atom
energy relative to the elements	-0.351	eV/atom

Unit cell a=2.9217 b=4.3018 c=4.3018 alpha=120.00 beta=90.00 gamma=90.00
Fractional positions:
Ta: 0.6669 0.6667 0.3333
Ru: 0.1665 0.3333 0.6667
Ge: 0.1667 0.0000 0.0000

Record 8
CaH12CO9 | PBE | optimized geometry

Calculated values
space group	No. 15
volume	8.28	A^3/atom
uncorrected energy	-5.483	eV/atom

Unit cell a=6.0674 b=6.0674 c=10.9550 alpha=76.44 beta=76.44 gamma=86.60
Fractional positions:
H: 0.7381 0.1210 0.4991
H: 0.0986 0.3384 0.3560
O: 0.6590 0.1036 0.5913
O: 0.1528 0.9068 0.8417
O: 0.2376 0.3327 0.6157
H: 0.4905 0.8201 0.4067
O: 0.3593 0.6407 0.7500
H: 0.6384 0.6138 0.6682
O: 0.6407 0.3593 0.2500
H: 0.8790 0.2619 0.0009
H: 0.6138 0.6384 0.1682
H: 0.3616 0.3862 0.3318
O: 0.5534 0.7910 0.1354
H: 0.3929 0.2212 0.0249
H: 0.6616 0.9014 0.1440
H: 0.6071 0.7788 0.9751
H: 0.5095 0.1799 0.5933
H: 0.2734 0.4626 0.6481
H: 0.1799 0.5095 0.0933
O: 0.8472 0.0932 0.1583
H: 0.2619 0.8790 0.5009
O: 0.0932 0.8472 0.6583
H: 0.7266 0.5374 0.3519
H: 0.4626 0.2734 0.1481
O: 0.9068 0.1528 0.3417
O: 0.4466 0.2090 0.8646
Ca: 0.8577 0.1423 0.7500
O: 0.6673 0.7624 0.8843
O: 0.3410 0.8964 0.4087
H: 0.9014 0.6616 0.6440
Ca: 0.1423 0.8577 0.2500
O: 0.7624 0.6673 0.3843
H: 0.3862 0.3616 0.8318
C: 0.7967 0.2033 0.2500
O: 0.3327 0.2376 0.1157
O: 0.2090 0.4466 0.3646
H: 0.8201 0.4905 0.9067
H: 0.7788 0.6071 0.4751
H: 0.3384 0.0986 0.8560
H: 0.1210 0.7381 0.9991
O: 0.8964 0.3410 0.9087
H: 0.2212 0.3929 0.5249
O: 0.1036 0.6590 0.0913
O: 0.7910 0.5534 0.6354
C: 0.2033 0.7967 0.7500
H: 0.5374 0.7266 0.8519

For the records above, the corresponding total magnetization values read 0.000 0.252 0.000 0.000 0.214 0.000 0.000 0.001 μB/atom.